Density functional theory data (PBE) for a geometry-optimized V2Ga4Ir structure.

Properties
- DFT formation energy: -125.9 meV per atom
- Space-group type: Cm (8)

Structure (POSCAR):
```
V2Ga4Ir
1.0
6.284 -2.936 0.000
6.284 2.936 0.000
-0.139 0.000 6.008
V Ga Ir
4 8 2
Cartesian
0.000 0.000 0.000
-0.026 0.000 2.429
6.563 0.000 2.370
9.266 0.000 2.804
4.544 1.311 1.253
4.854 1.290 4.022
7.591 1.415 4.295
8.142 1.472 1.024
4.544 -1.311 1.253
4.854 -1.290 4.022
7.591 -1.415 4.295
8.142 -1.472 1.024
3.028 0.000 5.355
9.805 0.000 5.415
```

=====

Density functional theory data (PBE) for a geometry-optimized V2GaIr3 structure.

Properties
- DFT formation energy: -488.7 meV per atom
- Space-group type: P4/mmm (123)

Structure (POSCAR):
```
V2GaIr3
1.0
2.798 0.000 0.000
0.000 2.798 0.000
0.000 0.000 10.768
V Ga Ir
2 1 3
Cartesian
0.000 0.000 1.821
0.000 0.000 8.947
0.000 0.000 5.384
1.399 1.399 0.000
1.399 1.399 3.579
1.399 1.399 7.189
```

=====

Density functional theory data (PBE) for a geometry-optimized V6Ga2Ir structure.

Properties
- Energy relative to the lowest polymorph listed for this composition: 0.0 meV/atom
- DFT formation energy: -212.0 meV per atom
- Space-group type: P-1 (2)

Structure (POSCAR):
```
V6Ga2Ir
1.0
2.666 0.000 0.000
-0.681 6.410 0.000
-0.012 -1.492 7.278
V Ga Ir
6 2 1
Cartesian
0.038 0.630 1.981
-0.023 1.975 5.978
0.183 4.805 2.912
1.790 0.113 4.366
1.996 2.943 1.299
1.935 4.288 5.297
1.113 -0.227 6.853
0.859 5.145 0.425
0.986 2.459 3.639
```

=====

Density functional theory data (PBE) for a geometry-optimized VGaIr structure.

Properties
- DFT formation energy: -400.7 meV per atom
- Space-group type: I4mm (107)

Structure (POSCAR):
```
VGaIr
1.0
-1.425 1.425 5.211
1.425 -1.425 5.211
1.425 1.425 -5.211
V Ga Ir
1 1 1
Cartesian
0.000 0.000 0.000
0.000 0.000 6.982
0.000 0.000 3.533
```

=====

Density functional theory data (PBE) for a geometry-optimized V2GaIr structure.

Properties
- DFT formation energy: -372.4 meV per atom
- Space-group type: Immm (71)

Structure (POSCAR):
```
V2GaIr
1.0
-1.529 2.059 4.372
1.529 -2.059 4.372
1.529 2.059 -4.372
V Ga Ir
2 1 1
Cartesian
0.000 0.000 2.157
0.000 0.000 6.587
0.000 2.059 0.000
1.529 0.000 0.000
```

=====

Density functional theory data (PBE) for a geometry-optimized VGaIr structure.

Properties
- DFT formation energy: -374.8 meV per atom
- Space-group type: P3m1 (156)

Structure (POSCAR):
```
VGaIr
1.0
4.268 0.000 0.000
-2.134 3.696 0.000
0.000 0.000 5.371
V Ga Ir
2 2 2
Cartesian
0.000 0.000 0.000
0.000 2.464 4.425
0.000 0.000 2.732
2.134 1.232 0.888
0.000 2.464 1.677
2.134 1.232 3.667
```

=====

Density functional theory data (PBE) for a geometry-optimized VGa2Ir3 structure.

Properties
- DFT formation energy: -444.5 meV per atom
- Space-group type: P4/mmm (123)

Structure (POSCAR):
```
VGa2Ir3
1.0
2.881 0.000 0.000
0.000 2.881 0.000
0.000 0.000 10.261
V Ga Ir
1 2 3
Cartesian
0.000 0.000 0.000
0.000 0.000 3.456
0.000 0.000 6.805
1.440 1.440 1.731
1.440 1.440 5.131
1.440 1.440 8.530
```

=====

Density functional theory data (PBE) for a geometry-optimized Y2VGaIr structure.

Properties
- DFT formation energy: 119.6 meV per atom
- Space-group type: P4/mmm (123)

Structure (POSCAR):
```
Y2VGaIr
1.0
5.346 0.000 0.000
0.000 5.346 0.000
0.000 0.000 4.757
Y V Ga Ir
2 1 1 1
Cartesian
0.000 2.673 0.000
2.673 0.000 0.000
0.000 0.000 2.378
2.673 2.673 2.378
2.673 2.673 0.000
```

=====

Density functional theory data (PBE) for a geometry-optimized Ga2Ir3W structure.

Properties
- DFT formation energy: -361.6 meV per atom
- Space-group type: P4/mmm (123)

Structure (POSCAR):
```
Ga2Ir3W
1.0
2.867 0.000 0.000
0.000 2.867 0.000
0.000 0.000 10.685
Ga Ir W
2 3 1
Cartesian
0.000 0.000 1.703
0.000 0.000 8.982
1.434 1.434 0.000
1.434 1.434 3.480
1.434 1.434 7.204
0.000 0.000 5.342
```

=====

Density functional theory data (PBE) for a geometry-optimized Ga2IrW structure.

Properties
- Energy relative to the lowest polymorph listed for this composition: 0.0 meV/atom
- DFT formation energy: 154.5 meV per atom
- Space-group type: Fm-3m (225)

Structure (POSCAR):
```
Ga2IrW
1.0
0.000 3.105 3.105
3.105 0.000 3.105
3.105 3.105 0.000
Ga Ir W
2 1 1
Cartesian
1.553 1.553 1.553
4.658 4.658 4.658
0.000 0.000 0.000
3.105 3.105 3.105
```

=====

Density functional theory data (PBE) for a geometry-optimized GaIrW2 structure.

Properties
- DFT formation energy: 508.6 meV per atom
- Space-group type: I-42d (122)

Structure (POSCAR):
```
GaIrW2
1.0
-1.881 1.881 9.461
1.881 -1.881 9.461
1.881 1.881 -9.461
Ga Ir W
2 2 4
Cartesian
0.000 0.000 0.000
0.000 1.881 4.730
1.881 0.000 4.730
0.000 0.000 9.461
2.821 0.884 -2.365
0.884 0.940 2.365
-0.940 0.996 7.096
0.996 0.940 11.826
```

=====

Density functional theory data (PBE) for a geometry-optimized Ga4Ir5W structure.

Properties
- DFT formation energy: -363.1 meV per atom
- Space-group type: P4/mmm (123)

Structure (POSCAR):
```
Ga4Ir5W
1.0
2.914 0.000 0.000
0.000 2.914 0.000
0.000 0.000 17.080
Ga Ir W
4 5 1
Cartesian
0.000 0.000 1.662
0.000 0.000 4.969
0.000 0.000 12.111
0.000 0.000 15.418
1.457 1.457 0.000
1.457 1.457 3.344
1.457 1.457 6.698
1.457 1.457 10.382
1.457 1.457 13.736
0.000 0.000 8.540
```